VASP calculation (GGA-PBE) on InCu2Au2 after structural relaxation.

POSCAR file:
```
InCu2Au2
1.0
3.8791 0.0000 0.0000
0.0000 3.8791 0.0000
1.9396 1.9396 6.1337
Au Cu In
2 2 1
Cartesian
3.8791 1.9396 3.0669
1.9396 3.8791 3.0669
1.9396 1.9396 1.1886
3.8791 3.8791 4.9451
0.0000 0.0000 0.0000
```

Properties
Final energy, eV/atom: -3.41
Space-group type: No. 139
Total moment, Bohr magnetons per cell: 0.00
ΔH_f (0 K), eV/f.u.: 0.5
DOS at the Fermi energy, states/eV/atom: 0.277
ΔE to the lowest computed polymorph, eV/f.u.: 0.714


VASP calculation (GGA-PBE) on InBiBr3 after structural relaxation.

POSCAR file:
```
InBiBr3
1.0
3.8046 -0.0283 -0.0284
0.0728 9.2181 0.5676
0.1062 2.8259 11.0758
In Bi Br
2 2 6
Cartesian
1.0029 3.7497 6.3024
1.0013 6.7837 2.8726
2.9424 7.8372 8.2317
2.8480 2.6676 0.9042
2.9265 4.9926 9.0514
2.9687 8.3374 11.1532
2.8782 3.6307 3.5524
2.9626 10.5885 7.6097
2.9117 9.1349 2.0888
2.9193 6.8746 5.5793
```

Properties
Final energy, eV/atom: -2.91
Space-group type: No. 1
Total moment, Bohr magnetons per cell: 0.00
DOS at the Fermi energy, states/eV/atom: 0.148
ΔE to the lowest computed polymorph, eV/f.u.: 0.000
Formation energy without anion corrections, meV per atom: -580


VASP calculation (GGA-PBE) on La5Tb2 after structural relaxation.

POSCAR file:
```
La5Tb2
1.0
5.8596 0.0000 0.0000
2.9298 5.0746 0.0000
2.9298 1.6915 8.3897
La Tb
5 2
Cartesian
2.9298 1.6915 6.6853
8.7895 5.0746 5.1145
5.8596 3.3831 4.1949
2.9298 1.6915 3.2752
8.7895 5.0746 1.7044
5.8596 3.3831 0.2453
5.8596 3.3831 8.1444
```

Properties
Final energy, eV/atom: -4.72
Space-group type: No. 166
Total moment, Bohr magnetons per cell: 0.00
ΔH_f (0 K), eV/f.u.: 0.8
DOS at the Fermi energy, states/eV/atom: 2.130
ΔE to the lowest computed polymorph, eV/f.u.: 0.676


VASP calculation (GGA-PBE) on NaBiAu5 after structural relaxation.

POSCAR file:
```
NaBiAu5
1.0
-4.3686 -3.0079 2.2468
5.8302 -7.0202 1.9380
2.1331 4.6261 10.3405
Na Bi Au
4 4 20
Cartesian
2.4431 1.7963 10.8470
-0.9279 -1.8759 6.7602
4.5226 -3.5260 7.7651
1.1516 -7.1983 3.6783
5.8426 -2.9427 11.1125
1.1200 -4.9875 6.5764
2.4747 -0.4144 7.9489
-2.2478 -2.4593 3.4128
2.3778 -4.7424 1.9664
3.1768 -6.2413 8.8972
0.4179 0.8393 5.6281
1.2169 -0.6596 12.5588
0.3250 -1.3319 9.9246
0.2743 -0.7340 3.2425
3.3204 -4.6679 11.2827
3.2697 -4.0700 4.6007
4.3147 -6.5631 3.2950
1.5432 -3.7627 9.0390
2.0515 -1.6392 5.4863
-0.7200 1.1612 11.2303
-1.5920 -4.9848 4.9403
1.9958 2.4948 7.2791
3.7485 -6.4167 6.1407
3.0371 -1.8972 10.6906
5.1867 -0.4172 9.5850
1.5989 -7.8967 7.2462
-0.1538 1.0147 8.3846
0.5576 -3.5048 3.8347
```

Properties
Final energy, eV/atom: -3.22
Space-group type: No. 62
Total moment, Bohr magnetons per cell: 0.00
ΔH_f (0 K), eV/f.u.: -1.0
DOS at the Fermi energy, states/eV/atom: 0.284


VASP calculation (GGA-PBE) on Ac2TbDy after structural relaxation.

POSCAR file:
```
Ac2TbDy
1.0
-3.9644 0.6191 4.4463
-5.2777 -2.8172 -0.2798
-1.1361 -4.6014 3.6613
Ac Tb Dy
2 1 1
Cartesian
-2.5946 -1.6999 1.9569
-7.7837 -5.0996 5.8708
-5.1891 -3.3998 3.9139
0.0000 0.0000 0.0000
```

Properties
Final energy, eV/atom: -4.27
Space-group type: No. 225
Total moment, Bohr magnetons per cell: 0.00
ΔH_f (0 K), eV/f.u.: 0.4
DOS at the Fermi energy, states/eV/atom: 1.700
ΔE to the lowest computed polymorph, eV/f.u.: 0.206


VASP calculation (GGA-PBE) on Ce3RhC after structural relaxation.

POSCAR file:
```
Ce3RhC
1.0
5.0794 0.0000 0.0000
-2.5397 5.2590 -1.9846
0.0000 0.2350 7.7123
Ce Rh C
6 2 2
Cartesian
0.0000 1.1719 1.2840
2.5397 4.3221 4.4437
0.0000 3.8976 -0.8617
2.5397 1.5965 6.5894
0.0000 1.6913 4.1283
2.5397 3.8027 1.5994
2.5397 1.0097 2.7652
0.0000 4.4843 2.9625
2.5397 3.8865 -0.8496
0.0000 1.6076 6.5773
```

Properties
Final energy, eV/atom: -7.21
Space-group type: No. 12
Total moment, Bohr magnetons per cell: 0.00
ΔH_f (0 K), eV/f.u.: -1.7
DOS at the Fermi energy, states/eV/atom: 1.815


VASP calculation (GGA-PBE) on KCd2Tc after structural relaxation.

POSCAR file:
```
KCd2Tc
1.0
5.2314 -0.0088 -0.0094
4.4763 2.7074 -0.0094
0.5729 0.1593 7.4591
Cd K Tc
2 1 1
Cartesian
9.7061 2.6981 0.4013
7.6687 2.1317 6.0782
5.1654 1.4359 3.6093
2.5884 0.7195 1.0526
```

Properties
Final energy, eV/atom: -2.68
Space-group type: No. 8
Total moment, Bohr magnetons per cell: 0.36
ΔH_f (0 K), eV/f.u.: 2.6
DOS at the Fermi energy, states/eV/atom: 0.868
ΔE to the lowest computed polymorph, eV/f.u.: 0.589